No. 1
PrReNO: optimized geometry, PBE-GGA.

extended XYZ file:
```
8
Lattice="5.0373 0.0000 0.0000 0.0000 5.0373 0.0000 0.0000 0.0000 4.4466" Properties=species:S:1:pos:R:3 pbc="T T T"
Pr 1.2593 3.7780 0.0000
Pr 3.7780 1.2593 0.0000
Re 1.2593 1.2593 2.2228
Re 3.7780 3.7780 2.2238
N 1.2593 1.2593 0.0029
N 3.7780 3.7780 4.4437
O 1.2593 3.7780 2.2233
O 3.7780 1.2593 2.2233
```

Results
The value obtained for the energy above the most stable polymorph in this dataset is 810.7 meV per atom.


No. 2
LiPmSi: optimized geometry, PBE-GGA.

extended XYZ file:
```
3
Lattice="0.0000 3.3402 3.3402 3.3402 0.0000 3.3402 3.3402 3.3402 0.0000" Properties=species:S:1:pos:R:3 pbc="T T T"
Li 0.0000 0.0000 0.0000
Pm 3.3402 3.3402 3.3402
Si 1.6701 1.6701 1.6701
```

Results
The value obtained for the energy above the most stable polymorph in this dataset is 124.7 meV per atom.


No. 3
NdHoNO: optimized geometry, PBE-GGA.

extended XYZ file:
```
8
Lattice="4.0542 0.0000 0.0000 0.0000 6.9830 0.0000 0.0000 0.0000 5.0191" Properties=species:S:1:pos:R:3 pbc="T T T"
Nd 0.0000 1.1350 0.0000
Nd 0.0000 5.8481 2.5096
Ho 2.0271 2.2939 2.5130
Ho 2.0271 4.6892 0.0034
N 0.0000 1.2721 2.5116
N 0.0000 5.7110 0.0020
O 2.0271 2.4490 5.0105
O 2.0271 4.5341 2.5009
```

Results
The value obtained for the energy above the most stable polymorph in this dataset is 51.0 meV per atom.


No. 4
BaAcAg: optimized geometry, PBE-GGA.

extended XYZ file:
```
3
Lattice="0.0000 3.9640 3.9640 3.9640 0.0000 3.9640 3.9640 3.9640 0.0000" Properties=species:S:1:pos:R:3 pbc="T T T"
Ba 0.0000 0.0000 0.0000
Ac 3.9640 3.9640 3.9640
Ag 5.9459 5.9459 5.9459
```

Results
The value obtained for the energy above the most stable polymorph in this dataset is 0.0 meV per atom.


No. 5
ZrZnCoPt: optimized geometry, PBE-GGA.

extended XYZ file:
```
4
Lattice="0.0000 3.1503 3.1503 3.1503 0.0000 3.1503 3.1503 3.1503 0.0000" Properties=species:S:1:pos:R:3 pbc="T T T"
Zr 0.0000 0.0000 0.0000
Zn 3.1503 3.1503 3.1503
Co 4.7254 4.7254 4.7254
Pt 1.5751 1.5751 1.5751
```

Results
The calculated formation energy comes out at -2.1 eV per formula unit. The value obtained for the energy above the most stable polymorph in this dataset is 0.0 meV per atom.


No. 6
TlCoCuSe2S: optimized geometry, PBE-GGA.

extended XYZ file:
```
12
Lattice="1.7865 -7.2175 0.0000 1.7865 7.2175 0.0000 0.0000 0.0000 9.3981" Properties=species:S:1:pos:R:3 pbc="T T T"
Tl 1.7865 3.6133 7.0486
Tl 1.7865 -3.6133 2.3495
Co 0.0000 0.0000 0.0000
Co 0.0000 0.0000 4.6991
Cu 1.7865 0.4819 2.3495
Cu 1.7865 -0.4819 7.0486
Se 1.7865 1.6350 0.2818
Se 1.7865 1.6350 4.4173
Se 1.7865 -1.6350 4.9808
Se 1.7865 -1.6350 9.1164
S 1.7865 6.3555 2.3495
S 1.7865 -6.3555 7.0486
```

Results
The calculation puts the total energy at -4.206 eV/atom.


No. 7
CsHfPa: optimized geometry, PBE-GGA.

extended XYZ file:
```
3
Lattice="0.0000 3.7066 3.7066 3.7066 0.0000 3.7066 3.7066 3.7066 0.0000" Properties=species:S:1:pos:R:3 pbc="T T T"
Cs 0.0000 0.0000 0.0000
Hf 1.8533 1.8533 1.8533
Pa 3.7066 3.7066 3.7066
```

Results
The value obtained for the energy above the most stable polymorph in this dataset is 0.0 meV per atom.


No. 8
SmTlTe3Au: optimized geometry, PBE-GGA.

extended XYZ file:
```
12
Lattice="2.1196 -7.8912 0.0000 2.1196 7.8912 0.0000 0.0000 0.0000 11.4049" Properties=species:S:1:pos:R:3 pbc="T T T"
Sm 0.0000 0.0000 0.0000
Sm 0.0000 0.0000 5.7025
Tl 2.1196 4.1257 8.5537
Tl 2.1196 -4.1257 2.8512
Te 2.1196 6.5680 2.8512
Te 2.1196 2.2235 0.6562
Te 2.1196 2.2235 5.0462
Te 2.1196 -2.2235 6.3587
Te 2.1196 -2.2235 10.7487
Te 2.1196 -6.5680 8.5537
Au 2.1196 0.4965 2.8512
Au 2.1196 -0.4965 8.5537
```

Results
The value obtained for the energy above the most stable polymorph in this dataset is 0.0 meV per atom.


No. 9
ScPaAs: optimized geometry, PBE-GGA.

extended XYZ file:
```
3
Lattice="0.0000 3.4485 3.4485 3.4485 0.0000 3.4485 3.4485 3.4485 0.0000" Properties=species:S:1:pos:R:3 pbc="T T T"
Sc 0.0000 0.0000 0.0000
Pa 5.1728 5.1728 5.1728
As 3.4485 3.4485 3.4485
```

Results
The value obtained for the energy above the most stable polymorph in this dataset is 283.7 meV per atom.


No. 10
DyMgAsO: optimized geometry, PBE-GGA.

extended XYZ file:
```
8
Lattice="4.4268 0.0000 0.0000 0.0000 6.1087 0.0000 0.0000 0.0000 5.8910" Properties=species:S:1:pos:R:3 pbc="T T T"
Dy 0.0000 1.3812 0.0000
Dy 0.0000 4.7275 2.9455
Mg 2.2134 2.4373 3.7825
Mg 2.2134 3.6714 0.8370
As 0.0000 1.4801 2.8930
As 0.0000 4.6286 5.8385
O 2.2134 1.9421 5.7236
O 2.2134 4.1666 2.7781
```

Results
The calculation puts the total energy at -5.881 eV/atom.


No. 11
AgGeSO: optimized geometry, PBE-GGA.

extended XYZ file:
```
8
Lattice="3.8122 0.0000 0.0000 0.0000 3.8122 0.0000 0.0000 0.0000 10.6893" Properties=species:S:1:pos:R:3 pbc="T T T"
Ag 0.9530 2.8591 0.0000
Ag 2.8591 0.9530 0.0000
Ge 0.9530 0.9530 4.2689
Ge 2.8591 2.8591 6.4204
S 0.9530 0.9530 9.0059
S 2.8591 2.8591 1.6834
O 0.9530 0.9530 6.0517
O 2.8591 2.8591 4.6376
```

Results
The value obtained for the energy above the most stable polymorph in this dataset is 414.6 meV per atom.


No. 12
KAg3SnS4: optimized geometry, PBE-GGA.

extended XYZ file:
```
9
Lattice="6.4301 0.0000 0.0000 0.0000 6.4301 0.0000 0.0000 0.0000 6.4301" Properties=species:S:1:pos:R:3 pbc="T T T"
K 0.0000 0.0000 0.0000
Ag 0.0000 3.2151 3.2151
Ag 3.2151 0.0000 3.2151
Ag 3.2151 3.2151 0.0000
Sn 3.2151 3.2151 3.2151
S 1.8180 1.8180 1.8180
S 1.8180 4.6121 4.6121
S 4.6121 1.8180 4.6121
S 4.6121 4.6121 1.8180
```

Results
The value obtained for the energy above the most stable polymorph in this dataset is 40.9 meV per atom.


No. 13
YAgPbS3: optimized geometry, PBE-GGA.

extended XYZ file:
```
12
Lattice="2.0144 -6.5950 0.0000 2.0144 6.5950 0.0000 0.0000 0.0000 10.4200" Properties=species:S:1:pos:R:3 pbc="T T T"
Y 0.0000 0.0000 0.0000
Y 0.0000 0.0000 5.2100
Ag 2.0144 0.4822 7.8150
Ag 2.0144 -0.4822 2.6050
Pb 2.0144 3.2869 2.6050
Pb 2.0144 -3.2869 7.8150
S 2.0144 5.4511 7.8150
S 2.0144 1.8477 5.7389
S 2.0144 1.8477 9.8911
S 2.0144 -1.8477 0.5289
S 2.0144 -1.8477 4.6811
S 2.0144 -5.4511 2.6050
```

Results
The value obtained for the energy above the most stable polymorph in this dataset is 30.1 meV per atom.


No. 14
NdSmTl: optimized geometry, PBE-GGA.

extended XYZ file:
```
3
Lattice="0.0000 3.7384 3.7384 3.7384 0.0000 3.7384 3.7384 3.7384 0.0000" Properties=species:S:1:pos:R:3 pbc="T T T"
Nd 0.0000 0.0000 0.0000
Sm 3.7384 3.7384 3.7384
Tl 1.8692 1.8692 1.8692
```

Results
The value obtained for the energy above the most stable polymorph in this dataset is 216.5 meV per atom.